Computed, not measured: a relaxed LaBeSe2 crystal at the PBE-GGA level of DFT.

```
LaBeSe2
1.0
3.591 0.000 0.000
0.000 3.591 0.000
0.000 0.000 6.806
La Be Se
1 1 2
direct
0.000 0.000 0.000
0.000 0.000 0.500
0.500 0.500 0.268
0.500 0.500 0.732
```

Properties
energy relative to the elements, uncorrected: -0.573 eV/atom
space-group type: P4/mmm

---

Computed, not measured: a relaxed Tb4ScHg3 crystal at the PBE-GGA level of DFT.

```
Tb4ScHg3
1.0
3.733 0.000 0.000
0.000 5.261 0.000
0.000 0.000 10.811
Tb Sc Hg
4 1 3
direct
0.000 0.000 0.000
0.000 0.000 0.500
0.000 0.500 0.241
0.000 0.500 0.759
0.500 0.500 0.500
0.500 0.000 0.264
0.500 0.000 0.736
0.500 0.500 0.000
```

Properties
ΔH_f (0 K): -0.314 eV/atom
space-group type: Pmmm

---

Computed, not measured: a relaxed Pm6Sm2ErMg crystal at the PBE-GGA level of DFT.

```
Pm6Sm2ErMg
1.0
4.628 -7.533 0.000
4.628 7.533 0.000
-1.279 0.000 9.505
Pm Sm Er Mg
12 4 2 2
direct
0.002 0.570 0.195
0.127 0.763 0.552
0.237 0.873 0.948
0.291 0.499 0.387
0.430 0.998 0.305
0.499 0.291 0.887
0.501 0.709 0.113
0.570 0.002 0.695
0.709 0.501 0.613
0.763 0.127 0.052
0.873 0.237 0.448
0.998 0.430 0.805
0.204 0.302 0.049
0.302 0.204 0.549
0.698 0.796 0.451
0.796 0.698 0.951
0.020 0.980 0.250
0.980 0.020 0.750
0.410 0.590 0.750
0.590 0.410 0.250
```

Properties
ΔH_f (0 K): 0.112 eV/atom
space-group type: C2/c

---

Computed, not measured: a relaxed La12Nd7Th crystal at the PBE-GGA level of DFT.

```
La12Nd7Th
1.0
-5.890 5.890 5.890
5.890 -5.890 5.890
5.890 5.890 -5.890
La Nd Th
12 7 1
direct
0.001 0.763 0.237
0.237 0.001 0.763
0.237 0.237 0.474
0.237 0.474 0.237
0.237 0.763 0.999
0.474 0.237 0.237
0.526 0.763 0.763
0.763 0.237 0.001
0.763 0.526 0.763
0.763 0.763 0.526
0.763 0.999 0.237
0.999 0.237 0.763
0.000 0.000 0.500
0.000 0.500 0.000
0.000 0.500 0.500
0.500 0.000 0.000
0.500 0.000 0.500
0.500 0.500 0.000
0.500 0.500 0.500
0.000 0.000 0.000
```

Properties
ΔH_f (0 K): 0.565 eV/atom
space-group type: Im-3
polymorph energy (0 for the lowest one): 494 meV/atom

---

Computed, not measured: a relaxed Li4TiHg5 crystal at the PBE-GGA level of DFT.

```
Li4TiHg5
1.0
3.310 0.000 0.000
0.000 3.310 0.000
0.000 0.000 16.735
Li Ti Hg
4 1 5
direct
0.000 0.000 0.098
0.000 0.000 0.296
0.000 0.000 0.704
0.000 0.000 0.902
0.000 0.000 0.500
0.500 0.500 0.000
0.500 0.500 0.196
0.500 0.500 0.393
0.500 0.500 0.607
0.500 0.500 0.804
```

Properties
ΔH_f (0 K): -0.273 eV/atom
space-group type: P4/mmm

---

Computed, not measured: a relaxed KAsPd4 crystal at the PBE-GGA level of DFT.

```
KAsPd4
1.0
7.868 0.000 0.000
0.000 3.978 0.000
0.000 0.000 8.106
K As Pd
2 2 8
direct
0.250 0.000 0.100
0.750 0.000 0.900
0.250 0.000 0.684
0.750 0.000 0.316
0.000 0.000 0.500
0.065 0.500 0.742
0.250 0.500 0.435
0.435 0.500 0.742
0.500 0.000 0.500
0.565 0.500 0.258
0.750 0.500 0.565
0.935 0.500 0.258
```

Properties
ΔH_f (0 K): -0.173 eV/atom
space-group type: Pmma

---

Computed, not measured: a relaxed RbU2PtSe4 crystal at the PBE-GGA level of DFT.

```
RbU2PtSe4
1.0
2.081 -7.185 0.000
2.081 7.185 0.000
0.000 0.000 14.373
Rb U Pt Se
2 4 2 8
direct
0.115 0.885 0.750
0.885 0.115 0.250
0.367 0.633 0.568
0.367 0.633 0.932
0.633 0.367 0.068
0.633 0.367 0.432
0.157 0.843 0.250
0.843 0.157 0.750
0.000 0.000 0.000
0.000 0.000 0.500
0.265 0.735 0.106
0.265 0.735 0.394
0.440 0.560 0.750
0.560 0.440 0.250
0.735 0.265 0.606
0.735 0.265 0.894
```

Properties
energy relative to the elements, uncorrected: -1.011 eV/atom
space-group type: Cmcm

---

Computed, not measured: a relaxed PaNbFe2H6 crystal at the PBE-GGA level of DFT.

```
PaNbFe2H6
1.0
2.183 1.260 5.070
-2.183 1.260 5.070
0.000 -2.521 5.070
Pa Nb Fe H
1 1 2 6
direct
0.000 0.000 0.000
0.500 0.500 0.500
0.207 0.207 0.207
0.793 0.793 0.793
0.072 0.558 0.558
0.442 0.442 0.928
0.442 0.928 0.442
0.558 0.072 0.558
0.558 0.558 0.072
0.928 0.442 0.442
```

Properties
total DFT energy (no corrections): -5.904 eV/atom
space-group type: R-3m

---

Computed, not measured: a relaxed VAgS2 crystal at the PBE-GGA level of DFT.

```
VAgS2
1.0
6.335 0.000 0.000
0.000 6.335 0.000
0.000 0.000 6.335
V Ag S
4 4 8
direct
0.000 0.000 0.000
0.000 0.500 0.500
0.500 0.000 0.500
0.500 0.500 0.000
0.000 0.000 0.500
0.000 0.500 0.000
0.500 0.000 0.000
0.500 0.500 0.500
0.250 0.250 0.250
0.250 0.250 0.750
0.250 0.750 0.250
0.250 0.750 0.750
0.750 0.250 0.250
0.750 0.250 0.750
0.750 0.750 0.250
0.750 0.750 0.750
```

Properties
energy relative to the elements, uncorrected: -0.084 eV/atom
space-group type: Fm-3m

---

Computed, not measured: a relaxed Hg2Ru crystal at the PBE-GGA level of DFT.

```
Hg2Ru
1.0
3.029 0.000 0.000
-1.515 2.623 0.000
0.000 0.000 7.292
Hg Ru
2 1
direct
0.333 0.667 0.187
0.667 0.333 0.813
0.000 0.000 0.500
```

Properties
ΔH_f (0 K): 0.567 eV/atom
space-group type: P-3m1

---

Computed, not measured: a relaxed Ho2Tm5Th2 crystal at the PBE-GGA level of DFT.

```
Ho2Tm5Th2
1.0
3.455 0.000 0.000
-0.012 8.036 0.000
-1.724 -1.851 10.963
Ho Tm Th
2 5 2
direct
0.170 0.162 0.341
0.830 0.838 0.659
0.000 0.000 0.000
0.093 0.730 0.183
0.307 0.454 0.614
0.693 0.546 0.386
0.907 0.270 0.817
0.447 0.650 0.894
0.553 0.350 0.106
```

Properties
ΔH_f (0 K): 0.289 eV/atom
space-group type: P-1
polymorph energy (0 for the lowest one): 44 meV/atom

---

Computed, not measured: a relaxed Ca4Tb3AgTe8 crystal at the PBE-GGA level of DFT.

```
Ca4Tb3AgTe8
1.0
4.433 2.559 7.268
-4.433 2.559 7.268
0.000 -5.119 7.268
Ca Tb Ag Te
4 3 1 8
direct
0.000 0.000 0.000
0.000 0.500 0.500
0.500 0.000 0.500
0.500 0.500 0.000
0.000 0.000 0.500
0.000 0.500 0.000
0.500 0.000 0.000
0.500 0.500 0.500
0.249 0.249 0.249
0.249 0.747 0.747
0.253 0.253 0.751
0.253 0.751 0.253
0.747 0.249 0.747
0.747 0.747 0.249
0.751 0.253 0.253
0.751 0.751 0.751
```

Properties
energy relative to the elements, uncorrected: -1.353 eV/atom
space-group type: R-3m

---

Computed, not measured: a relaxed MgZr2Ta crystal at the PBE-GGA level of DFT.

```
MgZr2Ta
1.0
3.037 0.000 0.000
0.000 5.177 0.000
-0.084 0.000 5.416
Mg Zr Ta
1 2 1
direct
0.000 0.000 0.000
0.479 0.500 0.852
0.517 0.000 0.484
0.995 0.500 0.352
```

Properties
ΔH_f (0 K): 0.152 eV/atom
space-group type: Pm

---

Computed, not measured: a relaxed Ce2Th3Pa crystal at the PBE-GGA level of DFT.

```
Ce2Th3Pa
1.0
3.461 0.000 0.000
0.000 3.461 0.000
0.000 0.000 14.546
Ce Th Pa
2 3 1
direct
0.000 0.000 0.168
0.000 0.000 0.832
0.500 0.500 0.000
0.500 0.500 0.336
0.500 0.500 0.664
0.000 0.000 0.500
```

Properties
ΔH_f (0 K): 0.037 eV/atom
space-group type: P4/mmm

---

Computed, not measured: a relaxed Ba2CdAs2 crystal at the PBE-GGA level of DFT.

```
Ba2CdAs2
1.0
6.462 0.000 0.000
0.000 6.462 0.000
0.000 0.000 8.726
Ba Cd As
4 2 4
direct
0.000 0.500 0.250
0.000 0.500 0.750
0.500 0.000 0.250
0.500 0.000 0.750
0.000 0.000 0.000
0.500 0.500 0.500
0.000 0.000 0.350
0.000 0.000 0.650
0.500 0.500 0.150
0.500 0.500 0.850
```

Properties
ΔH_f (0 K): -0.556 eV/atom
space-group type: I4/mmm

---

Computed, not measured: a relaxed FeCuMo2W crystal at the PBE-GGA level of DFT.

```
FeCuMo2W
1.0
4.689 0.000 0.000
0.000 4.689 0.000
0.000 0.000 4.606
Fe Cu Mo W
1 1 2 1
direct
0.000 0.000 0.000
0.500 0.500 0.000
0.000 0.500 0.500
0.500 0.000 0.500
0.500 0.500 0.500
```

Properties
ΔH_f (0 K): 2.193 eV/atom
space-group type: P4/mmm

---

Computed, not measured: a relaxed Hf6TcN2 crystal at the PBE-GGA level of DFT.

```
Hf6TcN2
1.0
5.374 -2.192 0.000
5.374 2.192 0.000
-3.473 0.000 6.840
Hf Tc N
6 1 2
direct
0.020 0.020 0.193
0.304 0.304 0.909
0.335 0.335 0.431
0.665 0.665 0.569
0.696 0.696 0.091
0.980 0.980 0.807
0.000 0.000 0.500
0.186 0.186 0.088
0.814 0.814 0.912
```

Properties
energy relative to the elements, uncorrected: -0.692 eV/atom
space-group type: C2/m

---

Computed, not measured: a relaxed Ag2RuCl crystal at the PBE-GGA level of DFT.

```
Ag2RuCl
1.0
2.995 0.000 0.000
0.000 2.995 0.000
0.000 0.000 7.930
Ag Ru Cl
2 1 1
direct
0.000 0.000 0.246
0.000 0.000 0.754
0.500 0.500 0.000
0.500 0.500 0.500
```

Properties
energy relative to the elements, uncorrected: 0.415 eV/atom
space-group type: P4/mmm
polymorph energy (0 for the lowest one): 100 meV/atom

---

Computed, not measured: a relaxed Ru3Au crystal at the PBE-GGA level of DFT.

```
Ru3Au
1.0
3.858 0.000 0.000
0.000 3.858 0.000
0.000 0.000 7.955
Ru Au
6 2
direct
0.000 0.000 0.000
0.000 0.500 0.250
0.000 0.500 0.750
0.500 0.000 0.250
0.500 0.000 0.750
0.500 0.500 0.500
0.000 0.000 0.500
0.500 0.500 0.000
```

Properties
ΔH_f (0 K): 0.381 eV/atom
space-group type: I4/mmm
polymorph energy (0 for the lowest one): 210 meV/atom

---

Computed, not measured: a relaxed LaMn4Hg crystal at the PBE-GGA level of DFT.

```
LaMn4Hg
1.0
0.000 3.739 3.739
3.739 0.000 3.739
3.739 3.739 0.000
La Mn Hg
1 4 1
direct
0.000 0.000 0.000
0.126 0.625 0.625
0.625 0.126 0.625
0.625 0.625 0.126
0.625 0.625 0.625
0.250 0.250 0.250
```

Properties
ΔH_f (0 K): 0.309 eV/atom
space-group type: F-43m

---

Calculated values (Mg/m³) of ρ for the records, taken in order: 5.79 10.03 6.83 5.91 9.77 7.06 8.28 8.76 5.82 14.39 8.94 5.93 7.56 11.51 4.89 8.12 12.33 8.22 14.03 8.88.
Calculated values (μB/f.u.) of M_tot for the records, taken in order: 0.0 1.4 0.0 0.0 1.2 0.0 5.0 0.0 2.1 1.1 0.0 0.0 0.0 0.0 0.0 0.7 0.0 2.2 0.0 11.5.